No. 1
The following is a PBE-GGA calculation of a geometry-optimized LiPmHo2 structure, from Alexandria via LeMat-Bulk.

a b c (Å): 3.474 3.474 12.337
angles (deg): 81.91 81.91 60.00
Fractional coordinates of all 4 atoms:
Ho: 0.088 0.088 0.736
Ho: 0.912 0.912 0.264
Li: 0.000 0.000 0.000
Pm: 0.500 0.500 0.500

Results
Density: 6.3 Mg/m³
SG: R-3m
Energy above the lowest structure with this stoichiometry: 124 meV/atom
Calculated formation energy: 201 meV per atom

---

No. 2
The following is a PBE-GGA calculation of a geometry-optimized MgGe2Se4 structure, from Alexandria via LeMat-Bulk.

a b c (Å): 6.251 6.251 6.251
angles (deg): 106.11 106.11 116.42
Fractional coordinates of all 7 atoms:
Se: 0.680 0.808 0.488
Se: 0.320 0.192 0.512
Se: 0.192 0.680 0.872
Se: 0.808 0.320 0.128
Ge: 0.750 0.250 0.500
Ge: 0.250 0.750 0.500
Mg: 0.500 0.500 0.000

Results
Formation energy (no corrections): -35.5 kJ per mole of atoms
Density: 4.3 Mg/m³
SG: I4/m